MnCrBr2F PBE with a Hubbard U relaxed; calculated total energy = -5.105 eV per atom; total magnetization = 2.000 μB/atom
1.0
-3.0740 4.4660 0.2702
-3.0346 -1.9857 -1.7017
-1.7632 -1.5104 4.9069
F Br Mn Cr
1 2 1 1
direct
0.0000 0.5000 0.0000
0.0000 0.0000 0.5000
0.5000 0.0000 0.0000
0.0000 0.0000 0.0000
0.5000 0.5000 0.5000